[1]
VASP calculation (PBE) on a relaxed structure of AsPbSe2Br.

Output
The calculation puts the energy above the most stable polymorph in this dataset at 723 meV/atom. The value obtained for the energy relative to the elements, uncorrected is 0.704 eV per atom.

Cell: 5.6098 5.6098 5.1919 Å, 90.00 90.00 90.00°
Last column: nearest neighbours and their distance in Å.
Fractional coordinates of all 5 atoms:
Pb (0.5000, 0.5000, 0.5000)  8 Se 3.82, 4 As 3.97
As (0.0000, 0.0000, 0.5000)  2 Br 2.60
Se (0.0000, 0.5000, 0.0000)  2 Br 2.80
Se (0.5000, 0.0000, 0.0000)  2 Br 2.80
Br (0.0000, 0.0000, 0.0000)  2 As 2.60, 4 Se 2.80

---

[2]
VASP calculation (PBE) on a relaxed structure of Hf2ZrSc12.

Output
For the formation energy, the calculation gives 0.19 eV/atom.

Cell: 6.0364 6.0364 22.3577 Å, 90.00 90.00 63.57°
Last column: nearest neighbours and their distance in Å.
Fractional coordinates of all 30 atoms:
Hf (0.5000, 0.0000, 0.2679)  2 Hf 3.18, 12 Sc 3.26-3.52
Hf (0.0000, 0.5000, 0.2636)  2 Hf 3.18, 12 Sc 3.30-3.43
Hf (0.0000, 0.5000, 0.7321)  2 Hf 3.18, 12 Sc 3.26-3.52
Hf (0.5000, 0.0000, 0.7364)  2 Hf 3.18, 12 Sc 3.30-3.43
Zr (0.5000, 0.0000, 0.0005)  8 Sc 3.05-3.28, 2 Zr 3.18
Zr (0.0000, 0.5000, 0.9995)  8 Sc 3.05-3.28, 2 Zr 3.18
Sc (0.5000, 0.5000, 0.7995)  3 Sc 2.75-3.04
Sc (0.0000, 0.0000, 0.7995)  3 Sc 2.75-3.04
Sc (0.7502, 0.7498, 0.8724)  8 Sc 3.04-3.25, 2 Zr 3.26-3.28
Sc (0.2508, 0.7508, 0.9258)  2 Zr 3.05-3.06, 9 Sc 3.18-3.32
Sc (0.0000, 0.0000, 0.3233)  5 Sc 2.75-3.07
Sc (0.2492, 0.7492, 0.0742)  2 Zr 3.05-3.06, 9 Sc 3.18-3.32
Sc (0.7724, 0.2724, 0.5610)  5 Sc 2.77-3.04
Sc (0.5000, 0.5000, 0.3233)  5 Sc 2.75-3.07
Sc (0.2498, 0.2502, 0.8724)  8 Sc 3.04-3.25, 2 Zr 3.26-3.28
Sc (0.7498, 0.7502, 0.1276)  8 Sc 3.04-3.25, 2 Zr 3.26-3.28
Sc (0.2622, 0.2378, 0.6010)  8 Sc 3.01-3.33
Sc (0.7276, 0.2276, 0.4390)  5 Sc 2.77-3.04
Sc (0.0000, 0.0000, 0.6767)  5 Sc 2.75-3.07
Sc (0.2378, 0.2622, 0.3990)  8 Sc 3.01-3.33
Sc (0.2502, 0.2498, 0.1276)  8 Sc 3.04-3.25, 2 Zr 3.26-3.28
Sc (0.7622, 0.7378, 0.3990)  8 Sc 3.01-3.33
Sc (0.7378, 0.7622, 0.6010)  8 Sc 3.01-3.33
Sc (0.0000, 0.0000, 0.2005)  3 Sc 2.75-3.04
Sc (0.2276, 0.7276, 0.5610)  5 Sc 2.77-3.04
Sc (0.5000, 0.5000, 0.6767)  5 Sc 2.75-3.07
Sc (0.7492, 0.2492, 0.9258)  2 Zr 3.05-3.06, 9 Sc 3.18-3.32
Sc (0.5000, 0.5000, 0.2005)  3 Sc 2.75-3.04
Sc (0.2724, 0.7724, 0.4390)  5 Sc 2.77-3.04
Sc (0.7508, 0.2508, 0.0742)  2 Zr 3.05-3.06, 9 Sc 3.18-3.32

---

[3]
VASP calculation (PBE) on a relaxed structure of Ba3ScNi.

Output
For the formation energy, the calculation gives 0.34 eV/atom. The calculation puts the energy above the most stable polymorph in this dataset at 0 meV/atom.

Cell: 6.0494 6.0494 6.0494 Å, 90.00 90.00 90.00°
Last column: nearest neighbours and their distance in Å.
Fractional coordinates of all 5 atoms:
Sc (0.5000, 0.5000, 0.5000)  12 Ba 4.28
Ni (0.0000, 0.0000, 0.0000)  6 Ba 3.02
Ba (0.0000, 0.5000, 0.0000)  2 Ni 3.02
Ba (0.0000, 0.0000, 0.5000)  2 Ni 3.02
Ba (0.5000, 0.0000, 0.0000)  2 Ni 3.02

---

[4]
VASP calculation (PBE) on a relaxed structure of K2HgRh.

Output
For the formation energy, the calculation gives 0.22 eV/atom.

Cell: 4.8642 5.1800 6.1766 Å, 65.26 90.00 90.00°
Last column: nearest neighbours and their distance in Å.
Fractional coordinates of all 4 atoms:
Hg (0.5000, 0.5825, 0.7108)  2 Rh 2.61
K (0.0000, 0.9780, 0.9193)  3 Rh 3.34-3.50, 4 Hg 3.74
K (0.5000, 0.2738, 0.3272)  3 Hg 3.37-3.46, 4 Rh 3.75
Rh (0.0000, 0.6657, 0.5427)  2 Hg 2.61

---

Total DFT energy (no corrections) list, top to bottom, in eV per cell: -13.48 -203.07 -16.19 -8.97